NaPmPb, relaxed, DFT PBE; formation enthalpy at 0 K = -99 meV/atom; ρ = 6.9 g/cm³; crystal system = tetragonal; density of states at the Fermi level = 2.6 states/eV/cell
1.0
-3.708 -2.124 0.331
1.470 -2.025 3.480
-0.679 5.657 0.938
Pb Pm Na
1 1 1
Direct
0.284 0.284 0.568
0.945 0.945 0.891
0.621 0.621 0.241

Na2ZnGaW, relaxed, DFT PBE; formation enthalpy at 0 K = 1118 meV/atom; ρ = 4.3 g/cm³; crystal system = tetragonal; density of states at the Fermi level = 2.4 states/eV/cell
1.0
-4.513 1.569 2.390
-0.480 -4.493 2.045
2.812 1.629 4.240
Na Zn W Ga
2 1 1 1
Direct
0.500 0.000 0.000
0.000 0.000 0.500
0.500 0.500 0.500
0.000 0.500 0.000
0.000 0.000 0.000

Na3Au2, relaxed, DFT PBE; formation enthalpy at 0 K = -282 meV/atom; ρ = 6.3 g/cm³; crystal system = tetragonal; density of states at the Fermi level = 6.0 states/eV/cell
1.0
7.433 0.000 0.000
0.000 8.084 0.000
0.000 0.000 8.084
Au Na
8 12
Direct
0.697 0.631 0.369
0.197 0.131 0.131
0.303 0.369 0.631
0.197 0.869 0.869
0.303 0.631 0.369
0.803 0.131 0.131
0.803 0.869 0.869
0.697 0.369 0.631
0.500 0.862 0.138
0.750 0.500 0.000
0.500 0.304 0.304
0.750 0.000 0.500
0.250 0.500 0.000
0.000 0.804 0.196
0.000 0.196 0.804
0.500 0.138 0.862
0.000 0.638 0.638
0.250 0.000 0.500
0.500 0.696 0.696
0.000 0.362 0.362

CsAlI, relaxed, DFT PBE; ρ = 3.4 g/cm³; uncorrected formation energy = -0.566 eV per atom; crystal system = monoclinic; density of states at the Fermi level = 1.2 states/eV/cell
1.0
-2.380 6.409 -5.845
0.025 -3.230 -3.552
-11.491 -5.014 4.480
Cs I Al
4 4 4
Direct
0.766 0.000 0.055
0.766 0.500 0.555
0.234 0.000 0.945
0.234 0.500 0.445
0.148 0.500 0.151
0.148 0.000 0.651
0.852 0.000 0.349
0.852 0.500 0.849
0.476 0.500 0.213
0.476 0.000 0.713
0.524 0.500 0.787
0.524 0.000 0.287

LaSc2Be, relaxed, DFT PBE; formation enthalpy at 0 K = 268 meV/atom; ρ = 4.2 g/cm³; crystal system = tetragonal; density of states at the Fermi level = 5.8 states/eV/cell
1.0
-1.462 3.355 2.868
-4.189 -1.568 -0.301
0.750 -2.679 3.516
Sc La Be
2 1 1
Direct
0.000 0.000 0.000
0.000 0.500 0.500
0.500 0.000 0.500
0.500 0.500 0.000

Ga3NiAu, relaxed, DFT PBE; formation enthalpy at 0 K = -69 meV/atom; ρ = 8.1 g/cm³; crystal system = cubic; density of states at the Fermi level = 1.5 states/eV/cell
1.0
4.574 0.000 0.000
0.000 4.574 0.000
0.000 0.000 4.574
Ni Ga Au
1 3 1
Direct
0.000 0.000 0.000
0.000 0.500 0.000
0.000 0.000 0.500
0.500 0.000 0.000
0.500 0.500 0.500

CuAgAu3, relaxed, DFT PBE; formation enthalpy at 0 K = 30 meV/atom; ρ = 14.0 g/cm³; crystal system = triclinic; density of states at the Fermi level = 2.9 states/eV/cell
1.0
-1.933 0.932 -1.907
2.947 -6.053 -3.787
-7.297 -4.889 0.798
Cu Au Ag
2 6 2
Direct
0.708 0.404 0.995
0.807 0.813 0.100
0.463 0.370 0.723
0.032 0.527 0.235
0.628 0.064 0.906
0.483 0.690 0.860
0.053 0.847 0.372
0.888 0.154 0.189
0.172 0.262 0.460
0.344 0.956 0.636

AlPd5Pt5, relaxed, DFT PBE; formation enthalpy at 0 K = -185 meV/atom; ρ = 14.4 g/cm³; crystal system = monoclinic; density of states at the Fermi level = 13.4 states/eV/cell
1.0
-1.243 0.599 -3.654
3.287 -5.057 -4.034
-7.053 -1.721 0.030
Pd Pt Al
5 5 1
Direct
0.822 0.056 0.299
0.063 0.643 0.230
0.822 0.389 0.966
0.574 0.133 0.719
0.310 0.892 0.488
0.061 0.324 0.554
0.576 0.809 0.039
0.327 0.218 0.128
0.312 0.577 0.798
0.559 0.487 0.395
0.073 0.971 0.883

Be2NiHg, relaxed, DFT PBE; formation enthalpy at 0 K = 160 meV/atom; ρ = 9.5 g/cm³; crystal system = monoclinic; density of states at the Fermi level = 0.9 states/eV/cell
1.0
-2.438 1.124 -3.428
-3.005 -1.633 -2.695
-3.746 1.200 1.614
Be Ni Hg
2 1 1
Direct
0.000 0.000 0.972
0.267 0.267 0.213
0.730 0.730 0.840
0.504 0.504 0.475

Ta2AgRu, relaxed, DFT PBE; formation enthalpy at 0 K = 104 meV/atom; ρ = 14.2 g/cm³; crystal system = monoclinic; density of states at the Fermi level = 3.2 states/eV/cell
1.0
6.431 0.001 0.003
-2.519 4.131 -0.004
1.392 0.858 2.518
Ag Ta Ru
1 2 1
Direct
0.000 0.500 0.500
0.000 0.000 0.000
0.500 0.000 0.500
0.500 0.500 0.000

LaPr3Bi2, relaxed, DFT PBE; formation enthalpy at 0 K = -594 meV/atom; ρ = 7.8 g/cm³; crystal system = monoclinic; density of states at the Fermi level = 15.1 states/eV/cell
1.0
-3.768 -0.376 2.537
7.053 -6.345 5.439
-0.440 10.352 0.881
Bi Pr La
4 6 2
Direct
0.510 0.020 0.175
0.247 0.494 0.777
0.490 0.980 0.825
0.753 0.506 0.223
0.944 0.888 0.559
0.688 0.377 0.488
0.312 0.623 0.512
0.355 0.710 0.182
0.056 0.112 0.441
0.645 0.290 0.818
0.888 0.777 0.897
0.112 0.223 0.103